## Th4P6Rh7 (GGA-PBE)

Data for Th4P6Rh7 after structural relaxation.

abc: 7.293 7.293 7.293
angles: 109.47 109.47 109.47
Atoms (fractional coordinates):
Th  0.500  0.000  0.000
Th  0.500  0.500  0.500
Th  0.000  0.500  0.000
Th  0.000  0.000  0.500
P  0.681  0.000  0.681
P  0.681  0.681  0.000
P  0.000  0.319  0.319
P  0.319  0.000  0.319
P  0.319  0.319  0.000
P  0.000  0.681  0.681
Rh  0.750  0.500  0.250
Rh  0.250  0.750  0.500
Rh  0.500  0.750  0.250
Rh  0.750  0.250  0.500
Rh  0.250  0.500  0.750
Rh  0.500  0.250  0.750
Rh  0.000  0.000  0.000

Values from the calculation:
Total DFT energy (no corrections)   -0.28320 hartree per atom
Total magnetization   0.0 μB/cell
Calculated volume   298.60 Å³/cell